VASP calculation (PBE) on a geometry-optimized CeLuTlTc structure.

Values from the calculation:
The energy is -5.82 eV/atom. The total moment comes out at 0.00 μB per cell. For the energy of formation from the pure elements, the calculation gives -0.03 eV/atom. Its crystal system is cubic. The calculation puts the density of states at the Fermi level at 3.77 states/eV/cell.

Unit cell a=5.0933 b=5.0933 c=5.0933 alpha=60.00 beta=60.00 gamma=60.00
Last column: nearest neighbours and their distance in Å.
Fractional positions:
Ce 0.0000 0.0000 0.0000  4 Tc 3.12, 4 Tl 3.12
Tc 0.2500 0.2500 0.2500  4 Lu 3.12, 4 Ce 3.12
Lu 0.5000 0.5000 0.5000  4 Tl 3.12, 4 Tc 3.12
Tl 0.7500 0.7500 0.7500  4 Ce 3.12, 4 Lu 3.12